The following is a PBE-GGA calculation of Be2ReRh after structural relaxation, from the Alexandria database.

abc: 5.782 5.782 5.782
angles: 90.00 90.00 90.00
Atoms (fractional coordinates):
Be  0.000  0.000  0.000
Be  0.000  0.500  0.500
Be  0.250  0.250  0.250
Be  0.250  0.750  0.750
Be  0.500  0.000  0.500
Be  0.500  0.500  0.000
Be  0.750  0.250  0.750
Be  0.750  0.750  0.250
Re  0.000  0.000  0.500
Re  0.000  0.500  0.000
Re  0.500  0.000  0.000
Re  0.500  0.500  0.500
Rh  0.250  0.250  0.750
Rh  0.250  0.750  0.250
Rh  0.750  0.250  0.250
Rh  0.750  0.750  0.750

Results
Electronic total energy, eV/atom: -6.68
SG: F-43m, No. 216
Relative energy among the computed polymorphs, meV/atom: 403
DOS(E_F), states/eV/atom: 0.839
Total magnetization, μB/f.u.: 0.0